A plane-wave DFT calculation with meta-GGA SCAN was carried out for CsSi2Cl at its PBEsol-relaxed geometry.

Unit cell a=5.235 b=5.235 c=5.235 alpha=60.00 beta=60.00 gamma=60.00
Fractional positions:
Cs 0.000 0.000 0.000
Si 0.250 0.250 0.250
Si 0.750 0.750 0.750
Cl 0.500 0.500 0.500

Results
SG: Fm-3m

A plane-wave DFT calculation with meta-GGA SCAN was carried out for CsSrSiCl2 at its PBEsol-relaxed geometry.

Unit cell a=5.407 b=5.407 c=6.318 alpha=90.00 beta=90.00 gamma=90.00
Fractional positions:
Cs 0.000 0.000 0.000
Sr 0.500 0.500 0.000
Si 0.000 0.000 0.500
Cl 0.000 0.500 0.500
Cl 0.500 0.000 0.500

Results
SG: P4/mmm

A plane-wave DFT calculation with meta-GGA SCAN was carried out for CsSiW2Cl at its PBEsol-relaxed geometry.

Unit cell a=4.438 b=4.438 c=5.928 alpha=90.00 beta=90.00 gamma=90.00
Fractional positions:
Cs 0.000 0.000 0.000
Si 0.500 0.500 0.000
W 0.000 0.500 0.500
W 0.500 0.000 0.500
Cl 0.000 0.000 0.500

Results
SG: P4/mmm

A plane-wave DFT calculation with meta-GGA SCAN was carried out for Cs3SmCl6 at its PBEsol-relaxed geometry.

Unit cell a=8.301 b=8.301 c=8.301 alpha=60.00 beta=60.00 gamma=60.00
Fractional positions:
Cs 0.000 0.000 0.000
Cs 0.250 0.250 0.250
Cs 0.750 0.750 0.750
Sm 0.500 0.500 0.500
Cl 0.273 0.273 0.727
Cl 0.273 0.727 0.273
Cl 0.273 0.727 0.727
Cl 0.727 0.273 0.273
Cl 0.727 0.273 0.727
Cl 0.727 0.727 0.273

Results
SG: Fm-3m

A plane-wave DFT calculation with meta-GGA SCAN was carried out for CsSnCl3 at its PBEsol-relaxed geometry.

Unit cell a=5.501 b=5.501 c=5.501 alpha=90.00 beta=90.00 gamma=90.00
Fractional positions:
Cs 0.000 0.000 0.000
Sn 0.500 0.500 0.500
Cl 0.000 0.500 0.500
Cl 0.500 0.000 0.500
Cl 0.500 0.500 0.000

Results
SG: Pm-3m

A plane-wave DFT calculation with meta-GGA SCAN was carried out for CsSnCl3 at its PBEsol-relaxed geometry.

Unit cell a=5.606 b=7.607 c=16.267 alpha=90.00 beta=107.65 gamma=90.00
Fractional positions:
Cs 0.086 0.017 0.344
Cs 0.086 0.483 0.844
Cs 0.914 0.517 0.156
Cs 0.914 0.983 0.656
Sn 0.370 0.532 0.609
Sn 0.370 0.968 0.109
Sn 0.630 0.032 0.891
Sn 0.630 0.468 0.391
Cl 0.100 0.033 0.883
Cl 0.100 0.467 0.383
Cl 0.315 0.668 0.041
Cl 0.315 0.832 0.541
Cl 0.492 0.195 0.746
Cl 0.492 0.305 0.246
Cl 0.508 0.695 0.754
Cl 0.508 0.805 0.254
Cl 0.685 0.168 0.459
Cl 0.685 0.332 0.959
Cl 0.900 0.533 0.617
Cl 0.900 0.967 0.117

Results
SG: P2_1/c

A plane-wave DFT calculation with meta-GGA SCAN was carried out for CsSn2Cl5 at its PBEsol-relaxed geometry.

Unit cell a=9.346 b=9.346 c=9.346 alpha=130.02 beta=130.02 gamma=73.37
Fractional positions:
Cs 0.250 0.250 0.000
Cs 0.750 0.750 0.000
Sn 0.171 0.671 0.842
Sn 0.329 0.171 0.500
Sn 0.671 0.829 0.500
Sn 0.829 0.329 0.158
Cl 0.000 0.000 0.000
Cl 0.038 0.216 0.500
Cl 0.216 0.716 0.178
Cl 0.284 0.462 0.500
Cl 0.462 0.962 0.178
Cl 0.500 0.500 0.000
Cl 0.538 0.038 0.822
Cl 0.716 0.538 0.500
Cl 0.784 0.284 0.822
Cl 0.962 0.784 0.500

Results
SG: I4/mcm

A plane-wave DFT calculation with meta-GGA SCAN was carried out for CsSrCl3 at its PBEsol-relaxed geometry.

Unit cell a=7.759 b=7.759 c=5.701 alpha=90.00 beta=90.00 gamma=90.00
Fractional positions:
Cs 0.000 0.500 0.000
Cs 0.500 0.000 0.000
Sr 0.000 0.000 0.500
Sr 0.500 0.500 0.500
Cl 0.000 0.000 0.000
Cl 0.185 0.315 0.500
Cl 0.315 0.815 0.500
Cl 0.500 0.500 0.000
Cl 0.685 0.185 0.500
Cl 0.815 0.685 0.500

Results
SG: P4/mbm

A plane-wave DFT calculation with meta-GGA SCAN was carried out for CsSrCl3 at its PBEsol-relaxed geometry.

Unit cell a=7.813 b=7.813 c=7.813 alpha=61.19 beta=61.19 gamma=61.19
Fractional positions:
Cs 0.000 0.000 0.000
Cs 0.500 0.500 0.500
Sr 0.244 0.244 0.244
Sr 0.744 0.744 0.744
Cl 0.060 0.927 0.487
Cl 0.427 0.560 0.987
Cl 0.487 0.060 0.927
Cl 0.560 0.987 0.427
Cl 0.927 0.487 0.060
Cl 0.987 0.427 0.560

Results
SG: R3c

A plane-wave DFT calculation with meta-GGA SCAN was carried out for CsSrCl3 at its PBEsol-relaxed geometry.

Unit cell a=7.972 b=11.115 c=7.752 alpha=90.00 beta=90.00 gamma=90.00
Fractional positions:
Cs 0.051 0.250 0.015
Cs 0.449 0.750 0.515
Cs 0.551 0.250 0.485
Cs 0.949 0.750 0.985
Sr 0.000 0.000 0.500
Sr 0.000 0.500 0.500
Sr 0.500 0.000 0.000
Sr 0.500 0.500 0.000
Cl 0.018 0.750 0.426
Cl 0.210 0.539 0.792
Cl 0.210 0.961 0.792
Cl 0.290 0.039 0.292
Cl 0.290 0.461 0.292
Cl 0.482 0.250 0.926
Cl 0.518 0.750 0.074
Cl 0.710 0.539 0.708
Cl 0.710 0.961 0.708
Cl 0.790 0.039 0.208
Cl 0.790 0.461 0.208
Cl 0.982 0.250 0.574

Results
SG: Pnma

A plane-wave DFT calculation with meta-GGA SCAN was carried out for CsSrCl3 at its PBEsol-relaxed geometry.

Unit cell a=5.614 b=5.614 c=5.614 alpha=90.00 beta=90.00 gamma=90.00
Fractional positions:
Cs 0.000 0.000 0.000
Sr 0.500 0.500 0.500
Cl 0.000 0.500 0.500
Cl 0.500 0.000 0.500
Cl 0.500 0.500 0.000

Results
SG: Pm-3m

A plane-wave DFT calculation with meta-GGA SCAN was carried out for CsSrTa6Cl18 at its PBEsol-relaxed geometry.

Unit cell a=9.289 b=9.289 c=17.191 alpha=90.00 beta=90.00 gamma=120.00
Fractional positions:
Cs 0.333 0.667 0.250
Cs 0.667 0.333 0.750
Sr 0.333 0.667 0.750
Sr 0.667 0.333 0.250
Ta 0.027 0.193 0.569
Ta 0.027 0.834 0.931
Ta 0.166 0.193 0.931
Ta 0.166 0.973 0.569
Ta 0.193 0.027 0.069
Ta 0.193 0.166 0.431
Ta 0.807 0.834 0.569
Ta 0.807 0.973 0.931
Ta 0.834 0.027 0.431
Ta 0.834 0.807 0.069
Ta 0.973 0.166 0.069
Ta 0.973 0.807 0.431
Cl 0.031 0.225 0.338
Cl 0.031 0.806 0.162
Cl 0.056 0.430 0.656
Cl 0.056 0.625 0.844
Cl 0.161 0.419 0.000
Cl 0.161 0.742 0.500
Cl 0.194 0.225 0.162
Cl 0.194 0.969 0.338
Cl 0.225 0.031 0.838
Cl 0.225 0.194 0.662
Cl 0.258 0.419 0.500
Cl 0.258 0.839 0.000
Cl 0.375 0.430 0.844
Cl 0.375 0.944 0.656
Cl 0.419 0.161 0.500
Cl 0.419 0.258 0.000
Cl 0.430 0.056 0.156
Cl 0.430 0.375 0.344
Cl 0.570 0.625 0.656
Cl 0.570 0.944 0.844
Cl 0.581 0.742 0.000
Cl 0.581 0.839 0.500
Cl 0.625 0.056 0.344
Cl 0.625 0.570 0.156
Cl 0.742 0.161 0.000
Cl 0.742 0.581 0.500
Cl 0.775 0.806 0.338
Cl 0.775 0.969 0.162
Cl 0.806 0.031 0.662
Cl 0.806 0.775 0.838
Cl 0.839 0.258 0.500
Cl 0.839 0.581 0.000
Cl 0.944 0.375 0.156
Cl 0.944 0.570 0.344
Cl 0.969 0.194 0.838
Cl 0.969 0.775 0.662

Results
SG: P-31c

Listing raw total energy for the structures above in their given order: -15.344, -17.311, -36.749, -22.915, -21.079, -21.100, -20.071, -19.362, -19.360, -19.364, -19.351, -24.854 eV/atom.